Record 1
This record from the Alexandria database describes a geometry-optimized GdThTePb structure. The functional is PBE.

ΔE_f (raw)	-0.687	eV/atom
space group	No. 216
DOS(E_F)	0.992	states/eV per atom

Cell: 5.4801 5.4801 5.4801 Å, 60.00 60.00 60.00°
Sites, in units of the cell vectors:
Gd 0.0000 0.0000 0.0000
Th 0.5000 0.5000 0.5000
Te 0.7500 0.7500 0.7500
Pb 0.2500 0.2500 0.2500

***

Record 2
This record from the Alexandria database describes a geometry-optimized GdTh2Pb structure. The functional is PBE.

formation energy	-0.21	eV/atom
ΔE to the lowest computed polymorph	0.0000	eV per atom
space group	No. 123
DOS(E_F)	1.299	states/eV per atom

Cell: 4.8483 4.8483 5.1355 Å, 90.00 90.00 90.00°
Sites, in units of the cell vectors:
Gd 0.0000 0.0000 0.0000
Th 0.0000 0.5000 0.5000
Th 0.5000 0.0000 0.5000
Pb 0.5000 0.5000 0.0000

***

Record 3
This record from the Alexandria database describes a geometry-optimized GdThPb2 structure. The functional is PBE.

formation energy	-0.37	eV/atom
ΔE to the lowest computed polymorph	0.0356	eV per atom
space group	No. 123
DOS(E_F)	0.884	states/eV per atom

Cell: 5.1026 5.1026 4.5260 Å, 90.00 90.00 90.00°
Sites, in units of the cell vectors:
Gd 0.0000 0.0000 0.0000
Th 0.5000 0.5000 0.0000
Pb 0.0000 0.5000 0.5000
Pb 0.5000 0.0000 0.5000

***

Record 4
This record from the Alexandria database describes a geometry-optimized GdThPb2 structure. The functional is PBE.

formation energy	-0.33	eV/atom
ΔE to the lowest computed polymorph	0.0779	eV per atom
space group	No. 166
DOS(E_F)	0.886	states/eV per atom

Cell: 6.1448 6.1448 6.1448 Å, 49.67 49.67 49.67°
Sites, in units of the cell vectors:
Gd 0.0000 0.0000 0.0000
Th 0.5000 0.5000 0.5000
Pb 0.2549 0.2549 0.2549
Pb 0.7451 0.7451 0.7451

***

Record 5
This record from the Alexandria database describes a geometry-optimized GdThPb structure. The functional is PBE.

formation energy	-0.21	eV/atom
ΔE to the lowest computed polymorph	0.0000	eV per atom
space group	No. 107
DOS(E_F)	1.015	states/eV per atom

Cell: 5.9936 5.9936 5.9936 Å, 139.29 139.29 58.94°
Sites, in units of the cell vectors:
Gd 0.0000 0.0000 0.0000
Th 0.3108 0.3108 0.0000
Pb 0.6489 0.6489 0.0000

***

Record 6
This record from the Alexandria database describes a geometry-optimized GdTh2Pb structure. The functional is PBE.

formation energy	-0.09	eV/atom
ΔE to the lowest computed polymorph	0.1179	eV per atom
space group	No. 123
DOS(E_F)	1.465	states/eV per atom

Cell: 4.2444 4.2444 6.9961 Å, 90.00 90.00 90.00°
Sites, in units of the cell vectors:
Gd 0.0000 0.0000 0.0000
Th 0.5000 0.5000 0.2695
Th 0.5000 0.5000 0.7305
Pb 0.0000 0.0000 0.5000

***

Record 7
This record from the Alexandria database describes a geometry-optimized GdThPb2 structure. The functional is PBE.

formation energy	-0.41	eV/atom
ΔE to the lowest computed polymorph	0.0000	eV per atom
space group	No. 123
DOS(E_F)	0.598	states/eV per atom

Cell: 3.5877 3.5877 9.1128 Å, 90.00 90.00 90.00°
Sites, in units of the cell vectors:
Gd 0.0000 0.0000 0.0000
Th 0.0000 0.0000 0.5000
Pb 0.5000 0.5000 0.2441
Pb 0.5000 0.5000 0.7559

***

Record 8
This record from the Alexandria database describes a geometry-optimized GdThPb structure. The functional is PBE.

formation energy	0.08	eV/atom
ΔE to the lowest computed polymorph	0.2859	eV per atom
space group	No. 156
DOS(E_F)	1.406	states/eV per atom

Cell: 5.5353 5.5353 3.3522 Å, 90.00 90.00 120.00°
Sites, in units of the cell vectors:
Gd 0.0000 0.0000 0.0000
Th 0.6667 0.3333 0.0021
Pb 0.3333 0.6667 0.5006

***

| no. | magnetization (μB/f.u.) |
| --- | --- |
| 1 | 7.9 |
| 2 | 7.3 |
| 3 | 7.7 |
| 4 | 7.2 |
| 5 | 7.4 |
| 6 | 7.7 |
| 7 | 7.6 |
| 8 | 7.6 |